1.
Entry from Alexandria: a relaxed PdPb3O crystal (PBE-GGA).

Properties
Total magnetic moment ... 0.00 Bohr magnetons per cell
Formation energy from raw total energies ... 8.77 kcal/mol of atoms

The structure in CIF format:
```
data_PdPb3O
_symmetry_space_group_name_H-M 'P m -3 m'
_symmetry_Int_Tables_number 221
_symmetry_space_group_name_Hall '-P 4 2 3'
_cell_length_a 5.297
_cell_length_b 5.297
_cell_length_c 5.297
_cell_angle_alpha 90.00
_cell_angle_beta 90.00
_cell_angle_gamma 90.00
loop_
_atom_site_label
_atom_site_type_symbol
_atom_site_fract_x
_atom_site_fract_y
_atom_site_fract_z
Pd1 Pd 0.000 0.000 0.000
Pb1 Pb 0.000 0.000 0.500
O1 O 0.500 0.500 0.500
```



2.
Entry from Alexandria: a relaxed Pr2SmSb crystal (PBE-GGA).

Properties
Total magnetic moment ... 0.00 Bohr magnetons per cell
Formation energy from raw total energies ... -12.75 kcal/mol of atoms

The structure in CIF format:
```
data_Pr2SmSb
_symmetry_space_group_name_H-M 'P 1 21/m 1'
_symmetry_Int_Tables_number 11
_symmetry_space_group_name_Hall '-P 2yb'
_cell_length_a 4.661
_cell_length_b 4.657
_cell_length_c 12.096
_cell_angle_alpha 90.00
_cell_angle_beta 101.08
_cell_angle_gamma 90.00
loop_
_atom_site_label
_atom_site_type_symbol
_atom_site_fract_x
_atom_site_fract_y
_atom_site_fract_z
Pr1 Pr 0.061 0.250 0.123
Pr2 Pr 0.431 0.250 0.862
Sm1 Sm 0.305 0.750 0.608
Sb1 Sb 0.171 0.750 0.342
```



What is the formula in the first record? PdPb3O